The following is a DFT calculation (PBE) of LaPm2NdTm5 after structural relaxation.

```
LaPm2NdTm5
1.0
8.705 0.000 0.000
0.000 8.705 0.000
-4.353 -4.353 7.747
La Pm Nd Tm
2 4 2 10
direct
0.250 0.250 0.500 La
0.750 0.750 0.500 La
0.117 0.383 0.000 Pm
0.617 0.117 0.000 Pm
0.383 0.883 0.000 Pm
0.883 0.617 0.000 Pm
0.250 0.750 0.500 Nd
0.750 0.250 0.500 Nd
0.927 0.427 0.270 Tm
0.656 0.156 0.730 Tm
0.073 0.573 0.730 Tm
0.156 0.073 0.730 Tm
0.573 0.656 0.730 Tm
0.844 0.927 0.270 Tm
0.427 0.344 0.270 Tm
0.344 0.844 0.270 Tm
0.500 0.500 0.000 Tm
0.000 0.000 0.000 Tm
```

Results
uncorrected energy	-4.37	eV/atom
DOS(E_F)	1.073	states/eV per atom
space group	No. 140